CdSi3Tc after structural relaxation. Source: Alexandria, functional PBE.

Values from the calculation:
Volume ... 105.1 Å³ per cell
Magnetic moment ... 0.00 μB/atom
Raw formation energy ... 0.386 eV per atom
Theoretical density ... 4.7 g/cm3
Energy above the lowest structure with this stoichiometry ... 0 meV/atom
D(E_F) ... 0.936 states/eV/atom

Geometry as extended XYZ:
```
5
Lattice="4.720 0.000 0.000 0.000 4.720 0.000 0.000 0.000 4.720" Properties=species:S:1:pos:R:3 pbc="T T T"
Si 0.000 0.000 2.360
Si 0.000 2.360 0.000
Cd 2.360 2.360 2.360
Tc 0.000 0.000 0.000
Si 2.360 0.000 0.000
```